First-principles (PBE) data for a relaxed BPIrI crystal, as listed in Alexandria.

Lattice parameters (Å, degrees): 4.1255 4.1255 6.8616 111.66 111.66 50.94
With the nearest neighbours (Å) after each atom.
Fractional positions:
B (0.0000, 0.0000, 0.0000)  1 P 1.89, 1 Ir 2.04
P (0.1028, 0.1028, 0.7899)  1 B 1.89
Ir (0.7557, 0.7557, 0.7185)  1 B 2.04, 2 P 2.27
I (0.5796, 0.5796, 0.2460)  2 B 2.35

Space-group type: No. 8
Formation energy from raw total energies (eV/atom): 0.1947
Fermi-level density of states (states/eV per cell): 1.98
Energy relative to the lowest polymorph listed for this composition (eV/atom): 0.060